1.
# CsSrSb2I

A relaxed CsSrSb2I crystal (PBE-GGA, the Alexandria database).

Results
**Spin magnetization**: 1.98 μB per formula unit
**Total energy**: -2.76 eV/atom
**Crystal system**: tetragonal
**Density**: 3.71 g cm⁻³
**Space-group type**: P4/mmm, No. 123
**E_form (uncorrected)**: -0.2989 eV per atom
**Energy relative to the lowest polymorph listed for this composition**: 0 meV/atom

Lattice parameters (Å, degrees): 6.3593 6.3593 6.5456 90.00 90.00 90.00
Closest atoms and distances in Å follow each position.
Fractional coordinates of all 5 atoms:
1 Cs 0.0000 0.0000 0.0000  4 I 4.50, 8 Sb 4.56
2 Sr 0.5000 0.5000 0.5000  4 Sb 3.18, 2 I 3.27
3 Sb 0.0000 0.5000 0.5000  2 Sr 3.18
4 Sb 0.5000 0.0000 0.5000  2 Sr 3.18
5 I 0.5000 0.5000 0.0000  2 Sr 3.27

***

2.
# CsSrSbI6

A relaxed CsSrSbI6 crystal (PBE-GGA, the Alexandria database).

Results
**Spin magnetization**: 0.00 μB per formula unit
**Total energy**: -2.84 eV/atom
**Crystal system**: trigonal
**Density**: 3.64 g cm⁻³
**Space-group type**: P312, No. 149
**E_form (uncorrected)**: -1.0666 eV per atom

Lattice parameters (Å, degrees): 8.2666 8.2666 8.4999 90.00 90.00 120.00
Closest atoms and distances in Å follow each position.
Fractional coordinates of all 9 atoms:
1 Cs 0.0000 0.0000 0.0000  6 I 3.92
2 Sr 0.3333 0.6667 0.5000  6 I 3.30
3 Sb 0.6667 0.3333 0.5000  6 I 3.06
4 I 0.3829 0.0221 0.7136  1 Sb 3.06, 1 Sr 3.30
5 I 0.3829 0.3608 0.2864  1 Sb 3.06, 1 Sr 3.30
6 I 0.6392 0.0221 0.2864  1 Sb 3.06, 1 Sr 3.30
7 I 0.6392 0.6171 0.7136  1 Sb 3.06, 1 Sr 3.30
8 I 0.9779 0.3608 0.7136  1 Sb 3.06, 1 Sr 3.30
9 I 0.9779 0.6171 0.2864  1 Sb 3.06, 1 Sr 3.30

***

3.
# Cs2SrSbI6

A relaxed Cs2SrSbI6 crystal (PBE-GGA, the Alexandria database).

Results
**Spin magnetization**: 1.00 μB per formula unit
**Total energy**: -2.78 eV/atom
**Crystal system**: tetragonal
**Density**: 3.80 g cm⁻³
**Space-group type**: I4/mmm, No. 139
**E_form (uncorrected)**: -1.1001 eV per atom
**Energy relative to the lowest polymorph listed for this composition**: 13 meV/atom

Lattice parameters (Å, degrees): 9.3094 9.3094 9.3094 123.17 123.17 84.59
Closest atoms and distances in Å follow each position.
Fractional coordinates of all 10 atoms:
1 Cs 0.2500 0.7500 0.5000  12 I 4.44-4.66
2 Cs 0.7500 0.2500 0.5000  12 I 4.44-4.66
3 Sr 0.0000 0.0000 0.0000  6 I 3.21-3.26
4 Sb 0.5000 0.5000 0.0000  4 I 3.01
5 I 0.2333 0.2333 0.0000  1 Sr 3.21
6 I 0.2598 0.2598 0.5196  1 Sb 3.01, 1 Sr 3.26
7 I 0.2598 0.7402 0.0000  1 Sb 3.01, 1 Sr 3.26
8 I 0.7402 0.2598 0.0000  1 Sb 3.01, 1 Sr 3.26
9 I 0.7402 0.7402 0.4804  1 Sb 3.01, 1 Sr 3.26
10 I 0.7667 0.7667 0.0000  1 Sr 3.21

***

4.
# Cs2TaSbI6

A relaxed Cs2TaSbI6 crystal (PBE-GGA, the Alexandria database).

Results
**Spin magnetization**: 2.00 μB per formula unit
**Total energy**: -3.25 eV/atom
**Crystal system**: tetragonal
**Density**: 4.63 g cm⁻³
**Space-group type**: I4/mmm, No. 139
**E_form (uncorrected)**: -0.5548 eV per atom

Lattice parameters (Å, degrees): 8.9881 8.9881 8.9881 124.21 124.21 82.86
Closest atoms and distances in Å follow each position.
Fractional coordinates of all 10 atoms:
1 Cs 0.2500 0.7500 0.5000  12 I 4.24-4.50
2 Cs 0.7500 0.2500 0.5000  12 I 4.24-4.50
3 Ta 0.0000 0.0000 0.0000  6 I 2.85
4 Sb 0.5000 0.5000 0.0000  4 I 3.10
5 I 0.2114 0.2114 0.0000  1 Ta 2.85
6 I 0.2397 0.2397 0.4794  1 Ta 2.85, 1 Sb 3.10
7 I 0.2397 0.7603 0.0000  1 Ta 2.85, 1 Sb 3.10
8 I 0.7603 0.2397 0.0000  1 Ta 2.85, 1 Sb 3.10
9 I 0.7603 0.7603 0.5206  1 Ta 2.85, 1 Sb 3.10
10 I 0.7886 0.7886 0.0000  1 Ta 2.85

***

5.
# CsTcSbI2

A relaxed CsTcSbI2 crystal (PBE-GGA, the Alexandria database).

Results
**Spin magnetization**: 1.78 μB per formula unit
**Total energy**: -3.82 eV/atom
**Crystal system**: tetragonal
**Density**: 5.52 g cm⁻³
**Space-group type**: P4/mmm, No. 123
**E_form (uncorrected)**: -0.1352 eV per atom

Lattice parameters (Å, degrees): 5.9611 5.9611 5.1332 90.00 90.00 90.00
Closest atoms and distances in Å follow each position.
Fractional coordinates of all 5 atoms:
1 Cs 0.0000 0.0000 0.0000  8 I 3.93, 4 Sb 4.22
2 Tc 0.5000 0.5000 0.5000  2 Sb 2.57
3 Sb 0.5000 0.5000 0.0000  2 Tc 2.57
4 I 0.0000 0.5000 0.5000  2 Tc 2.98
5 I 0.5000 0.0000 0.5000  2 Tc 2.98

***

6.
# CsTcSb2I

A relaxed CsTcSb2I crystal (PBE-GGA, the Alexandria database).

Results
**Spin magnetization**: 0.00 μB per formula unit
**Total energy**: -4.24 eV/atom
**Crystal system**: tetragonal
**Density**: 5.81 g cm⁻³
**Space-group type**: P4/mmm, No. 123
**E_form (uncorrected)**: -0.0335 eV per atom
**Energy relative to the lowest polymorph listed for this composition**: 0 meV/atom

Lattice parameters (Å, degrees): 5.1804 5.1804 6.4059 90.00 90.00 90.00
Closest atoms and distances in Å follow each position.
Fractional coordinates of all 5 atoms:
1 Cs 0.0000 0.0000 0.0000  4 I 3.66
2 Tc 0.5000 0.5000 0.5000  4 Sb 2.59
3 Sb 0.0000 0.5000 0.5000  2 Tc 2.59
4 Sb 0.5000 0.0000 0.5000  2 Tc 2.59
5 I 0.5000 0.5000 0.0000  2 Tc 3.20

***

7.
# CsTcSb2I

A relaxed CsTcSb2I crystal (PBE-GGA, the Alexandria database).

Results
**Spin magnetization**: 3.34 μB per formula unit
**Total energy**: -2.32 eV/atom
**Crystal system**: tetragonal
**Density**: 3.63 g cm⁻³
**Space-group type**: P4/mmm, No. 123
**E_form (uncorrected)**: 1.8817 eV per atom
**Energy relative to the lowest polymorph listed for this composition**: 1915 meV/atom

Lattice parameters (Å, degrees): 6.4035 6.4035 6.7144 90.00 90.00 90.00
Closest atoms and distances in Å follow each position.
Fractional coordinates of all 5 atoms:
1 Cs 0.0000 0.0000 0.0000  4 Sb 3.20, 2 I 3.36
2 Tc 0.5000 0.5000 0.5000  4 I 4.53, 8 Sb 4.64
3 Sb 0.0000 0.5000 0.0000  2 Cs 3.20
4 Sb 0.5000 0.0000 0.0000  2 Cs 3.20
5 I 0.0000 0.0000 0.5000  2 Cs 3.36

***

8.
# CsTlSbI6

A relaxed CsTlSbI6 crystal (PBE-GGA, the Alexandria database).

Results
**Spin magnetization**: 0.00 μB per formula unit
**Total energy**: -2.44 eV/atom
**Crystal system**: trigonal
**Density**: 4.12 g cm⁻³
**Space-group type**: P312, No. 149
**E_form (uncorrected)**: -0.5887 eV per atom

Lattice parameters (Å, degrees): 8.1664 8.1664 8.5232 90.00 90.00 120.00
Closest atoms and distances in Å follow each position.
Fractional coordinates of all 9 atoms:
1 Cs 0.0000 0.0000 0.0000  6 I 3.93
2 Tl 0.3333 0.6667 0.5000  6 I 3.26
3 Sb 0.6667 0.3333 0.5000  6 I 3.06
4 I 0.3890 0.0186 0.7178  1 Sb 3.06, 1 Tl 3.26
5 I 0.3890 0.3704 0.2822  1 Sb 3.06, 1 Tl 3.26
6 I 0.6296 0.0186 0.2822  1 Sb 3.06, 1 Tl 3.26
7 I 0.6296 0.6110 0.7178  1 Sb 3.06, 1 Tl 3.26
8 I 0.9814 0.3704 0.7178  1 Sb 3.06, 1 Tl 3.26
9 I 0.9814 0.6110 0.2822  1 Sb 3.06, 1 Tl 3.26